No. 1
! PuCdHg4 (GGA-PBE, relaxed); values from VASP
! - Fermi-level density of states (states/eV/f.u.) = 17.803
&SYSTEM
  ibrav = 0, nat = 6, ntyp = 3
/
ATOMIC_SPECIES
Pu 244.00 Pu.upf
Cd 112.41 Cd.upf
Hg 200.59 Hg.upf
CELL_PARAMETERS angstrom
0.000 4.270 4.270
4.270 0.000 4.270
4.270 4.270 0.000
ATOMIC_POSITIONS angstrom
Pu 0.000 0.000 0.000
Cd 6.405 6.405 6.405
Hg 3.203 3.203 3.203
Hg 5.337 5.337 3.203
Hg 5.337 3.203 5.337
Hg 3.203 5.337 5.337

No. 2
! PuCd6Hg5 (GGA-PBE, relaxed); values from VASP
! - Fermi-level density of states (states/eV/f.u.) = 16.025
&SYSTEM
  ibrav = 0, nat = 12, ntyp = 3
/
ATOMIC_SPECIES
Pu 244.00 Pu.upf
Cd 112.41 Cd.upf
Hg 200.59 Hg.upf
CELL_PARAMETERS angstrom
6.089 -5.013 0.000
6.089 5.013 0.000
-2.296 0.000 4.811
ATOMIC_POSITIONS angstrom
Pu 0.000 0.000 0.000
Cd 2.512 1.687 1.224
Cd 1.192 0.000 3.553
Cd 2.512 -1.687 1.224
Cd 7.370 1.687 3.587
Cd 8.689 0.000 1.259
Cd 7.370 -1.687 3.587
Hg 4.941 3.249 2.406
Hg 6.089 1.659 0.000
Hg 4.941 0.000 2.406
Hg 6.089 -1.659 0.000
Hg 4.941 -3.249 2.406

No. 3
! PuCd7Hg12 (GGA-PBE, relaxed); values from VASP
! - Fermi-level density of states (states/eV/f.u.) = 19.906
&SYSTEM
  ibrav = 0, nat = 20, ntyp = 3
/
ATOMIC_SPECIES
Pu 244.00 Pu.upf
Cd 112.41 Cd.upf
Hg 200.59 Hg.upf
CELL_PARAMETERS angstrom
8.184 0.000 0.000
-2.725 8.569 0.000
-2.733 -4.277 7.430
ATOMIC_POSITIONS angstrom
Pu 0.000 0.000 0.000
Cd -3.236 6.363 2.511
Cd -0.516 3.272 0.665
Cd 0.515 1.069 3.163
Cd 4.092 0.000 0.000
Cd 2.211 3.224 4.267
Cd 3.242 1.021 6.766
Cd 5.962 -2.071 4.919
Hg -3.222 3.850 5.136
Hg -2.069 0.949 5.562
Hg -0.489 6.806 1.531
Hg -0.660 4.231 3.600
Hg 0.653 -0.992 5.463
Hg 2.235 2.209 0.761
Hg 0.490 2.084 6.670
Hg 2.073 5.285 1.967
Hg 3.385 0.062 3.830
Hg 3.214 -2.513 5.900
Hg 4.795 3.344 1.868
Hg 5.948 0.443 2.294

No. 4
! PuCd2Hg (GGA-PBE, relaxed); values from VASP
! - Fermi-level density of states (states/eV/f.u.) = 13.297
&SYSTEM
  ibrav = 0, nat = 4, ntyp = 3
/
ATOMIC_SPECIES
Pu 244.00 Pu.upf
Cd 112.41 Cd.upf
Hg 200.59 Hg.upf
CELL_PARAMETERS angstrom
4.605 0.000 0.000
0.000 4.605 0.000
0.000 0.000 4.848
ATOMIC_POSITIONS angstrom
Pu 0.000 0.000 0.000
Cd 0.000 2.303 2.424
Cd 2.303 0.000 2.424
Hg 2.303 2.303 0.000

No. 5
! Pu2CdHg5 (GGA-PBE, relaxed); values from VASP
! - Fermi-level density of states (states/eV/f.u.) = 28.784
&SYSTEM
  ibrav = 0, nat = 8, ntyp = 3
/
ATOMIC_SPECIES
Pu 244.00 Pu.upf
Cd 112.41 Cd.upf
Hg 200.59 Hg.upf
CELL_PARAMETERS angstrom
-3.406 3.406 4.479
3.406 -3.406 4.479
3.406 3.406 -4.479
ATOMIC_POSITIONS angstrom
Pu 3.406 0.000 0.000
Pu 0.000 3.406 0.000
Cd 0.000 0.000 8.956
Hg 1.706 1.706 -2.238
Hg 1.701 -1.701 2.241
Hg -1.701 1.701 2.241
Hg 1.701 1.701 2.241
Hg 0.000 0.000 4.486

No. 6
! PuCd3Hg6 (GGA-PBE, relaxed); values from VASP
! - Fermi-level density of states (states/eV/f.u.) = 10.321
&SYSTEM
  ibrav = 0, nat = 10, ntyp = 3
/
ATOMIC_SPECIES
Pu 244.00 Pu.upf
Cd 112.41 Cd.upf
Hg 200.59 Hg.upf
CELL_PARAMETERS angstrom
9.647 5.570 1.030
-9.647 5.570 1.030
0.000 -11.139 1.030
ATOMIC_POSITIONS angstrom
Pu 0.000 0.000 0.000
Cd -9.647 0.000 1.545
Cd -4.824 2.785 0.515
Cd 4.824 2.785 0.515
Hg -2.592 -1.496 1.283
Hg 0.000 -2.993 1.807
Hg -2.592 1.496 1.807
Hg 2.592 -1.496 1.283
Hg 0.000 2.993 1.283
Hg 2.592 1.496 1.807

No. 7
! PuCd4Hg2 (GGA-PBE, relaxed); values from VASP
! - Fermi-level density of states (states/eV/f.u.) = 15.961
&SYSTEM
  ibrav = 0, nat = 7, ntyp = 3
/
ATOMIC_SPECIES
Pu 244.00 Pu.upf
Cd 112.41 Cd.upf
Hg 200.59 Hg.upf
CELL_PARAMETERS angstrom
2.525 1.458 7.705
-2.525 1.458 7.705
0.000 -2.916 7.705
ATOMIC_POSITIONS angstrom
Pu 0.000 0.000 0.000
Cd 0.000 0.000 3.299
Cd 0.000 0.000 9.799
Cd 0.000 0.000 13.317
Cd 0.000 0.000 19.817
Hg 0.000 0.000 6.401
Hg 0.000 0.000 16.715

No. 8
! PuCdHg (GGA-PBE, relaxed); values from VASP
! - Fermi-level density of states (states/eV/f.u.) = 6.660
&SYSTEM
  ibrav = 0, nat = 3, ntyp = 3
/
ATOMIC_SPECIES
Pu 244.00 Pu.upf
Cd 112.41 Cd.upf
Hg 200.59 Hg.upf
CELL_PARAMETERS angstrom
-1.599 1.599 7.109
1.599 -1.599 7.109
1.599 1.599 -7.109
ATOMIC_POSITIONS angstrom
Pu 0.000 0.000 0.000
Cd 0.000 0.000 9.571
Hg 0.000 0.000 4.728

| no. | energy (eV per atom) | E_form (eV/atom) |
| --- | --- | --- |
| 1 | -2.677 | 0.07 |
| 2 | -1.778 | 0.00 |
| 3 | -1.209 | 0.01 |
| 4 | -4.141 | -0.03 |
| 5 | -3.961 | -0.08 |
| 6 | -1.838 | 0.05 |
| 7 | -2.709 | -0.05 |
| 8 | -5.260 | -0.08 |